PrDy7Y4 after structural relaxation, computed with PBE.

Output
ρ in Mg/m³: 7.03
Uncorrected energy in eV/cell: -62.858
Magnetic moment in μB/f.u.: 0.0

Cell lengths 6.2302, 7.1977, 8.8629 Å; angles 89.97, 76.30, 89.94 degrees
Last column: nearest neighbours and their distance in Å.
Space group P-1 (No. 2)
Inequivalent atoms, fractional coordinates:
Pr: 0.0000 0.0000 0.0000 [1 per cell]  10 Dy 3.55-3.61, 2 Y 3.56
Dy: 0.0000 0.5000 0.0000 [1 per cell]  6 Dy 3.55-3.60, 4 Y 3.55-3.56, 2 Pr 3.60
Dy: 0.2216 0.0003 0.3343 [2 per cell]  6 Dy 3.52-3.60, 5 Y 3.53-3.61, 1 Pr 3.55
Dy: 0.2777 0.7495 0.6655 [2 per cell]  6 Y 3.51-3.60, 5 Dy 3.53-3.60, 1 Pr 3.55
Dy: 0.4994 0.7495 0.9991 [2 per cell]  3 Y 3.54-3.56, 7 Dy 3.54-3.61, 2 Pr 3.59-3.61
Y: 0.2216 0.5002 0.3340 [2 per cell]  4 Y 3.53-3.60, 8 Dy 3.53-3.60
Y: 0.2803 0.2502 0.6648 [2 per cell]  8 Dy 3.51-3.61, 3 Y 3.53-3.60, 1 Pr 3.56